[1]
Computed, not measured: a relaxed structure of BaZr4Br at the PBE level of DFT.

Cell lengths 8.835, 8.835, 8.835 Å; angles 90.00, 90.00, 90.00 degrees
Space group F-43m (No. 216)
One atom of each set of equivalent atoms:
1 Ba 0.000 0.000 0.000
2 Zr 0.132 0.132 0.368
3 Br 0.250 0.250 0.750

The calculation puts the total energy at -5.707 eV/atom. For the raw formation energy, the calculation gives 0.591 eV per atom. The value obtained for the total magnetization is 0.000 Bohr magnetons per cell.



[2]
Computed, not measured: a relaxed structure of BeTcF2 at the PBE level of DFT.

Cell lengths 5.179, 5.179, 7.346 Å; angles 90.00, 90.00, 90.00 degrees
Space group I4_1/amd (No. 141, origin choice 2)
One atom of each set of equivalent atoms:
1 Be 0.000 0.250 0.375
2 Tc 0.000 0.250 0.875
3 F 0.000 0.000 0.500

The calculation puts the total energy at -5.445 eV/atom. For the raw formation energy, the calculation gives -0.986 eV per atom. As for the energy relative to the lowest polymorph listed for this composition: 642.1 meV per atom. The value obtained for the total magnetization is 12.000 Bohr magnetons per cell.